No. 1
{
  "formula": "LaAl10Cu2",
  "functional": "GGA-PBE",
  "state": "optimized geometry",
  "rho_g_cm3": 3.978,
  "delta_e_f_ev_per_atom": -0.2109,
  "final_energy_ev_per_atom": -4.099,
  "lattice": [[0.0000, 6.2304, 6.9381], [2.5868, 0.0000, 6.9381], [2.5868, 6.2304, 0.0000]],
  "species": ["La", "Al", "Al", "Al", "Al", "Al", "Al", "Al", "Al", "Al", "Al", "Cu", "Cu"],
  "fractional_positions": [[0.0000, 0.0000, 0.0000], [0.0000, 0.0000, 0.5000], [0.0085, 0.3532, 0.6468], [0.2688, 0.4882, 0.5118], [0.3532, 0.0085, 0.9915], [0.4882, 0.2688, 0.7312], [0.5000, 0.5000, 0.0000], [0.5118, 0.7312, 0.2688], [0.6468, 0.9915, 0.0085], [0.7312, 0.5118, 0.4882], [0.9915, 0.6468, 0.3532], [0.0000, 0.5000, 0.0000], [0.5000, 0.0000, 0.5000]]
}

No. 2
{
  "formula": "K2Cu2SeO6",
  "functional": "GGA-PBE",
  "state": "optimized geometry",
  "rho_g_cm3": 3.930,
  "final_energy_ev_per_atom": -4.797,
  "lattice": [[2.8532, 1.6473, 5.6968], [-2.8532, 1.6473, 5.6968], [0.0000, -3.2946, 5.6968]],
  "species": ["K", "K", "Cu", "Cu", "Se", "O", "O", "O", "O", "O", "O"],
  "fractional_positions": [[0.2080, 0.2080, 0.2080], [0.7920, 0.7920, 0.7920], [0.3878, 0.3878, 0.3878], [0.6122, 0.6122, 0.6122], [0.0000, 0.0000, 0.0000], [0.2141, 0.2141, 0.7725], [0.2141, 0.7725, 0.2141], [0.2275, 0.7859, 0.7859], [0.7725, 0.2141, 0.2141], [0.7859, 0.2275, 0.7859], [0.7859, 0.7859, 0.2275]]
}

No. 3
{
  "formula": "BeCd2Cl",
  "functional": "GGA-PBE",
  "state": "optimized geometry",
  "rho_g_cm3": 5.920,
  "final_energy_ev_per_atom": -1.783,
  "lattice": [[3.1528, 0.0000, 0.0000], [0.0000, 3.1528, 0.0000], [0.0000, 0.0000, 7.5985]],
  "species": ["Be", "Cd", "Cd", "Cl"],
  "fractional_positions": [[0.0000, 0.0000, 0.0000], [0.5000, 0.5000, 0.2138], [0.5000, 0.5000, 0.7862], [0.0000, 0.0000, 0.5000]]
}

No. 4
{
  "formula": "Ga2SnB",
  "functional": "GGA-PBE",
  "state": "optimized geometry",
  "rho_g_cm3": 6.085,
  "delta_e_f_ev_per_atom": 0.2746,
  "final_energy_ev_per_atom": -3.909,
  "lattice": [[10.5919, 0.0000, 0.0000], [0.0000, 5.0560, 0.0000], [-3.4098, 0.0000, 5.4823]],
  "species": ["Ga", "Ga", "Ga", "Ga", "Ga", "Ga", "Ga", "Ga", "Sn", "Sn", "Sn", "Sn", "B", "B", "B", "B"],
  "fractional_positions": [[0.0792, 0.0000, 0.2361], [0.1285, 0.5000, 0.4872], [0.3715, 0.0000, 0.5128], [0.4208, 0.5000, 0.7639], [0.5792, 0.5000, 0.2361], [0.6285, 0.0000, 0.4872], [0.8715, 0.5000, 0.5128], [0.9208, 0.0000, 0.7639], [0.2358, 0.5000, 0.1395], [0.2642, 0.0000, 0.8605], [0.7358, 0.0000, 0.1395], [0.7642, 0.5000, 0.8605], [0.0000, 0.1641, 0.5000], [0.0000, 0.8359, 0.5000], [0.5000, 0.3359, 0.5000], [0.5000, 0.6641, 0.5000]]
}

No. 5
{
  "formula": "Li5AlCu6",
  "functional": "GGA-PBE",
  "state": "optimized geometry",
  "rho_g_cm3": 4.798,
  "delta_e_f_ev_per_atom": -0.0628,
  "final_energy_ev_per_atom": -3.220,
  "lattice": [[2.1303, -6.4174, 0.0000], [2.1303, 6.4174, 0.0000], [0.0000, 0.0000, 5.6075]],
  "species": ["Li", "Li", "Li", "Li", "Li", "Al", "Cu", "Cu", "Cu", "Cu", "Cu", "Cu"],
  "fractional_positions": [[0.0000, 0.0000, 0.0000], [0.3320, 0.6680, 0.0000], [0.3340, 0.6660, 0.5000], [0.6660, 0.3340, 0.5000], [0.6680, 0.3320, 0.0000], [0.0000, 0.0000, 0.5000], [0.1653, 0.8347, 0.2506], [0.1653, 0.8347, 0.7494], [0.5000, 0.5000, 0.2482], [0.5000, 0.5000, 0.7518], [0.8347, 0.1653, 0.2506], [0.8347, 0.1653, 0.7494]]
}

No. 6
{
  "formula": "LiCaFe2Tc",
  "functional": "GGA-PBE",
  "state": "optimized geometry",
  "rho_g_cm3": 5.557,
  "delta_e_f_ev_per_atom": 1.3266,
  "final_energy_ev_per_atom": -4.915,
  "lattice": [[4.2047, 0.0000, 0.0000], [0.0000, 4.2047, 0.0000], [0.0000, 0.0000, 4.3393]],
  "species": ["Li", "Ca", "Fe", "Fe", "Tc"],
  "fractional_positions": [[0.0000, 0.0000, 0.0000], [0.5000, 0.5000, 0.5000], [0.0000, 0.5000, 0.0000], [0.5000, 0.0000, 0.0000], [0.0000, 0.0000, 0.5000]]
}

No. 7
{
  "formula": "Ag2SnCl7",
  "functional": "GGA-PBE",
  "state": "optimized geometry",
  "rho_g_cm3": 2.527,
  "final_energy_ev_per_atom": -2.903,
  "lattice": [[4.2814, -8.2713, 0.0000], [4.2814, 8.2713, 0.0000], [-2.0972, 0.0000, 10.8092]],
  "species": ["Ag", "Ag", "Ag", "Ag", "Sn", "Sn", "Cl", "Cl", "Cl", "Cl", "Cl", "Cl", "Cl", "Cl", "Cl", "Cl", "Cl", "Cl", "Cl", "Cl"],
  "fractional_positions": [[0.1124, 0.7188, 0.9069], [0.2812, 0.8876, 0.5931], [0.7188, 0.1124, 0.4069], [0.8876, 0.2812, 0.0931], [0.1955, 0.8045, 0.2500], [0.8045, 0.1955, 0.7500], [0.0544, 0.8691, 0.0846], [0.0931, 0.4830, 0.7439], [0.1099, 0.8901, 0.7500], [0.1309, 0.9456, 0.4154], [0.2530, 0.6488, 0.0870], [0.3512, 0.7470, 0.4130], [0.4830, 0.0931, 0.2439], [0.5170, 0.9069, 0.7561], [0.6488, 0.2530, 0.5870], [0.7470, 0.3512, 0.9130], [0.8691, 0.0544, 0.5846], [0.8901, 0.1099, 0.2500], [0.9069, 0.5170, 0.2561], [0.9456, 0.1309, 0.9154]]
}

No. 8
{
  "formula": "LiAcBi",
  "functional": "GGA-PBE",
  "state": "optimized geometry",
  "rho_g_cm3": 8.135,
  "delta_e_f_ev_per_atom": -0.7100,
  "final_energy_ev_per_atom": -4.011,
  "lattice": [[9.1630, 0.0000, 0.0000], [0.0000, 4.7735, 0.0000], [0.0000, 0.0000, 8.2682]],
  "species": ["Li", "Li", "Li", "Li", "Ac", "Ac", "Ac", "Ac", "Bi", "Bi", "Bi", "Bi"],
  "fractional_positions": [[0.2494, 0.2500, 0.0832], [0.2506, 0.7500, 0.5832], [0.7494, 0.2500, 0.4168], [0.7506, 0.7500, 0.9168], [0.0000, 0.2500, 0.7492], [0.0000, 0.7500, 0.2508], [0.5000, 0.2500, 0.7508], [0.5000, 0.7500, 0.2492], [0.2494, 0.7500, 0.9166], [0.2506, 0.2500, 0.4166], [0.7494, 0.7500, 0.5834], [0.7506, 0.2500, 0.0834]]
}

No. 9
{
  "formula": "ZrSiTeBr2",
  "functional": "GGA-PBE",
  "state": "optimized geometry",
  "rho_g_cm3": 4.179,
  "final_energy_ev_per_atom": -3.121,
  "lattice": [[5.5055, 0.0000, 0.0000], [0.0000, 5.5055, 0.0000], [0.0000, 0.0000, 5.3324]],
  "species": ["Zr", "Si", "Te", "Br", "Br"],
  "fractional_positions": [[0.0000, 0.0000, 0.0000], [0.5000, 0.5000, 0.0000], [0.5000, 0.5000, 0.5000], [0.0000, 0.5000, 0.5000], [0.5000, 0.0000, 0.5000]]
}

No. 10
{
  "formula": "Sc3RhPb",
  "functional": "GGA-PBE",
  "state": "optimized geometry",
  "rho_g_cm3": 4.990,
  "delta_e_f_ev_per_atom": 0.8112,
  "final_energy_ev_per_atom": -5.200,
  "lattice": [[5.2904, 0.0000, 0.0000], [0.0000, 5.2904, 0.0000], [0.0000, 0.0000, 5.2904]],
  "species": ["Sc", "Sc", "Sc", "Rh", "Pb"],
  "fractional_positions": [[0.0000, 0.0000, 0.5000], [0.0000, 0.5000, 0.0000], [0.5000, 0.0000, 0.0000], [0.5000, 0.5000, 0.5000], [0.0000, 0.0000, 0.0000]]
}

No. 11
{
  "formula": "ZrTaAl2",
  "functional": "GGA-PBE",
  "state": "optimized geometry",
  "rho_g_cm3": 7.332,
  "delta_e_f_ev_per_atom": -0.3287,
  "final_energy_ev_per_atom": -7.300,
  "lattice": [[7.3711, 0.0000, 0.0000], [0.0000, 3.7381, 0.0000], [0.0000, 0.0000, 10.7222]],
  "species": ["Zr", "Zr", "Zr", "Zr", "Ta", "Ta", "Ta", "Ta", "Al", "Al", "Al", "Al", "Al", "Al", "Al", "Al"],
  "fractional_positions": [[0.2292, 0.2500, 0.1991], [0.2708, 0.7500, 0.6991], [0.7292, 0.2500, 0.3009], [0.7708, 0.7500, 0.8009], [0.0486, 0.7500, 0.4076], [0.4514, 0.2500, 0.9076], [0.5486, 0.7500, 0.0924], [0.9514, 0.2500, 0.5924], [0.0699, 0.2500, 0.8392], [0.2002, 0.7500, 0.9868], [0.2998, 0.2500, 0.4868], [0.4301, 0.7500, 0.3392], [0.5699, 0.2500, 0.6608], [0.7002, 0.7500, 0.5132], [0.7998, 0.2500, 0.0132], [0.9301, 0.7500, 0.1608]]
}

No. 12
{
  "formula": "Tb2TmPd3",
  "functional": "GGA-PBE",
  "state": "optimized geometry",
  "rho_g_cm3": 9.713,
  "delta_e_f_ev_per_atom": -0.7514,
  "final_energy_ev_per_atom": -5.636,
  "lattice": [[5.8943, -2.9459, 0.0000], [5.8943, 2.9459, 0.0000], [-3.0396, 0.0000, 7.9359]],
  "species": ["Tb", "Tb", "Tb", "Tb", "Tm", "Tm", "Pd", "Pd", "Pd", "Pd", "Pd", "Pd"],
  "fractional_positions": [[0.1565, 0.1987, 0.0844], [0.1987, 0.1565, 0.5844], [0.8013, 0.8435, 0.4156], [0.8435, 0.8013, 0.9156], [0.3521, 0.6479, 0.7500], [0.6479, 0.3521, 0.2500], [0.1436, 0.8564, 0.2500], [0.3340, 0.3856, 0.4237], [0.3856, 0.3340, 0.9237], [0.6144, 0.6660, 0.0763], [0.6660, 0.6144, 0.5763], [0.8564, 0.1436, 0.7500]]
}